Entry 1:
Here is crystalline Y2ErMg3Tl2Zn at its relaxed geometry from OQMD via LeMat-Bulk. Energies are from PBE.

a b c (Å): 4.535 7.486 7.486
angles (deg): 119.70 90.00 90.00
Sites, in units of the cell vectors:
1 Y 0.000 0.208 0.792
2 Y 0.000 0.792 0.208
3 Er 0.000 0.624 0.624
4 Mg 0.500 0.209 0.444
5 Mg 0.500 0.444 0.209
6 Mg 0.500 0.974 0.974
7 Tl 0.500 0.542 0.873
8 Tl 0.500 0.873 0.542
9 Zn 0.000 0.211 0.211

Output
Calculated total energy: -0.1270 hartree per atom



Entry 2:
Here is crystalline LaDyY at its relaxed geometry from OQMD via LeMat-Bulk. Energies are from PBE.

a b c (Å): 5.508 5.508 5.508
angles (deg): 60.00 60.00 60.00
Sites, in units of the cell vectors:
1 La 0.000 0.000 0.000
2 Dy 0.250 0.250 0.250
3 Y 0.500 0.500 0.500

Output
Energy of formation from the pure elements: 696 meV per atom